Below is Cs4AgAu after structural relaxation, with properties calculated at the GGA-PBE level. Values from VASP.

Calculated formation energy (eV/atom): -0.09

Geometry as Quantum ESPRESSO input:
```
&SYSTEM
  ibrav = 0, nat = 6, ntyp = 3
/
ATOMIC_SPECIES
Cs 132.91 Cs.upf
Ag 107.87 Ag.upf
Au 196.97 Au.upf
CELL_PARAMETERS angstrom
9.227 0.000 0.000
0.000 5.306 0.000
-3.121 0.000 8.720
ATOMIC_POSITIONS angstrom
Cs 1.405 0.000 2.073
Cs -0.171 2.653 6.593
Cs 6.277 2.653 2.127
Cs 4.701 0.000 6.647
Ag -1.560 0.000 4.360
Au 0.000 2.653 0.000
```

***

Below is Cs4AgAu3 after structural relaxation, with properties calculated at the GGA-PBE level. Values from VASP.

Energy above the most stable polymorph in this dataset (kJ per mole of atoms): 3.25
Calculated formation energy (eV/atom): -0.21

Geometry as Quantum ESPRESSO input:
```
&SYSTEM
  ibrav = 0, nat = 8, ntyp = 3
/
ATOMIC_SPECIES
Cs 132.91 Cs.upf
Ag 107.87 Ag.upf
Au 196.97 Au.upf
CELL_PARAMETERS angstrom
7.454 0.000 0.000
0.000 7.454 0.000
0.000 0.000 7.454
ATOMIC_POSITIONS angstrom
Cs 0.000 0.000 0.000
Cs 0.000 3.727 3.727
Cs 3.727 0.000 3.727
Cs 3.727 3.727 0.000
Ag 3.727 3.727 3.727
Au 0.000 0.000 3.727
Au 0.000 3.727 0.000
Au 3.727 0.000 0.000
```

***

Below is Cs2AgAu after structural relaxation, with properties calculated at the GGA-PBE level. Values from VASP.

Energy above the most stable polymorph in this dataset (kJ per mole of atoms): 40.93
Calculated formation energy (eV/atom): 0.27

Geometry as Quantum ESPRESSO input:
```
&SYSTEM
  ibrav = 0, nat = 4, ntyp = 3
/
ATOMIC_SPECIES
Cs 132.91 Cs.upf
Ag 107.87 Ag.upf
Au 196.97 Au.upf
CELL_PARAMETERS angstrom
7.949 -6.154 0.000
7.949 6.154 0.000
-4.406 0.000 7.146
ATOMIC_POSITIONS angstrom
Cs 2.809 0.000 1.746
Cs 8.684 0.000 5.400
Ag 5.746 0.000 3.573
Au 0.000 0.000 0.000
```

***

Below is Cs6AgAu after structural relaxation, with properties calculated at the GGA-PBE level. Values from VASP.

Energy above the most stable polymorph in this dataset (kJ per mole of atoms): 0.00
Calculated formation energy (eV/atom): -0.07

Geometry as Quantum ESPRESSO input:
```
&SYSTEM
  ibrav = 0, nat = 8, ntyp = 3
/
ATOMIC_SPECIES
Cs 132.91 Cs.upf
Ag 107.87 Ag.upf
Au 196.97 Au.upf
CELL_PARAMETERS angstrom
4.628 -7.952 0.000
4.628 7.952 0.000
-2.957 0.000 8.733
ATOMIC_POSITIONS angstrom
Cs 1.489 2.527 2.157
Cs 0.058 0.000 6.620
Cs 1.489 -2.527 2.157
Cs 4.811 2.527 6.576
Cs 6.242 0.000 2.112
Cs 4.811 -2.527 6.576
Ag 3.150 0.000 4.366
Au 0.000 0.000 0.000
```

***

Q: Among the records above, which one has the highest calculated formation energy?
A: Cs2AgAu

***

Q: Which value of calculated formation energy does entry 1 give?
A: -0.09 eV/atom

***

Q: Number 1 is which compound?
A: Cs4AgAu